The following is a PBE-GGA calculation of a relaxed structure of Nd2Dy2Ho3, from Alexandria via LeMat-Bulk.

```
14
Lattice="-4.872 4.872 4.872 4.872 -4.872 4.872 4.872 4.872 -4.872" Properties=species:S:1:pos:R:3 pbc="T T T"
Nd 5.783 -0.911 0.911
Nd 0.911 5.783 -0.911
Nd -0.911 0.911 5.783
Nd 3.961 3.961 3.961
Dy 2.846 2.026 -2.026
Dy 2.026 -2.026 2.846
Dy 2.026 2.026 2.026
Dy -2.026 2.846 2.026
Ho 4.872 -2.436 4.332
Ho 4.332 4.872 -2.436
Ho 4.872 2.436 0.540
Ho 2.436 0.540 4.872
Ho 0.540 4.872 2.436
Ho -2.436 4.332 4.872
```

The value obtained for the energy relative to the lowest polymorph listed for this composition is 9.6 kJ per mole of atoms. The formation energy is 0.22 eV per atom. The density is 7.96 Mg/m³. As for the electronic total energy: -4.416 eV per atom.